(1)
SrLaTlPt: relaxed, GGA-PBE.

Properties
symmetry	F-43m, No. 216
energy	-4.3167	eV per atom
energy relative to the elements	-0.563	eV/atom

Unit cell a=7.678 b=7.678 c=7.678 alpha=90.00 beta=90.00 gamma=90.00
Atoms (fractional coordinates):
1 Sr 0.000 0.000 0.000
2 Sr 0.000 0.500 0.500
3 Sr 0.500 0.000 0.500
4 Sr 0.500 0.500 0.000
5 La 0.000 0.000 0.500
6 La 0.000 0.500 0.000
7 La 0.500 0.000 0.000
8 La 0.500 0.500 0.500
9 Tl 0.250 0.250 0.250
10 Tl 0.250 0.750 0.750
11 Tl 0.750 0.250 0.750
12 Tl 0.750 0.750 0.250
13 Pt 0.250 0.250 0.750
14 Pt 0.250 0.750 0.250
15 Pt 0.750 0.250 0.250
16 Pt 0.750 0.750 0.750



(2)
Dy3Ga9Pt2: relaxed, GGA-PBE.

Properties
symmetry	Immm, No. 71
energy	-4.4902	eV per atom
energy relative to the elements	-0.695	eV/atom

Unit cell a=8.213 b=8.213 c=8.213 alpha=150.15 beta=104.78 gamma=82.97
Atoms (fractional coordinates):
1 Dy 0.000 0.000 0.000
2 Dy 0.323 0.323 0.000
3 Dy 0.677 0.677 0.000
4 Ga 0.043 0.668 0.375
5 Ga 0.148 0.870 0.278
6 Ga 0.293 0.668 0.625
7 Ga 0.408 0.130 0.278
8 Ga 0.500 0.000 0.500
9 Ga 0.592 0.870 0.722
10 Ga 0.707 0.332 0.375
11 Ga 0.852 0.130 0.722
12 Ga 0.957 0.332 0.625
13 Pt 0.275 0.500 0.775
14 Pt 0.725 0.500 0.225



(3)
Ac2Al4ZnCd3: relaxed, GGA-PBE.

Properties
symmetry	P-4m2, No. 115
energy	-3.0176	eV per atom
energy relative to the elements	-0.297	eV/atom

Unit cell a=4.575 b=4.575 c=11.368 alpha=90.00 beta=90.00 gamma=90.00
Atoms (fractional coordinates):
1 Ac 0.000 0.500 0.244
2 Ac 0.500 0.000 0.756
3 Al 0.000 0.000 0.500
4 Al 0.000 0.500 0.872
5 Al 0.500 0.000 0.128
6 Al 0.500 0.500 0.500
7 Zn 0.500 0.500 0.000
8 Cd 0.000 0.000 0.000
9 Cd 0.000 0.500 0.637
10 Cd 0.500 0.000 0.363



(4)
Pm2Sn3Pt2: relaxed, GGA-PBE.

Properties
symmetry	C2/m, No. 12
energy	-5.5938	eV per atom
energy relative to the elements	-0.795	eV/atom
E above lowest polymorph	0.018	eV per atom

Unit cell a=10.930 b=4.260 c=7.302 alpha=90.00 beta=95.43 gamma=90.00
Atoms (fractional coordinates):
1 Pm 0.124 0.000 0.347
2 Pm 0.376 0.500 0.653
3 Pm 0.624 0.500 0.347
4 Pm 0.876 0.000 0.653
5 Sn 0.000 0.500 0.000
6 Sn 0.192 0.000 0.852
7 Sn 0.308 0.500 0.148
8 Sn 0.500 0.000 0.000
9 Sn 0.692 0.500 0.852
10 Sn 0.808 0.000 0.148
11 Pt 0.091 0.500 0.641
12 Pt 0.409 0.000 0.359
13 Pt 0.591 0.000 0.641
14 Pt 0.909 0.500 0.359



(5)
InSiAs: relaxed, GGA-PBE.

Properties
symmetry	Ama2, No. 40
energy	-4.2720	eV per atom
formation energy (no corrections)	-0.0017	eV per atom
E above lowest polymorph	0.063	eV per atom

Unit cell a=4.025 b=19.762 c=3.703 alpha=90.00 beta=90.00 gamma=90.00
Atoms (fractional coordinates):
1 In 0.250 0.208 0.000
2 In 0.250 0.708 0.500
3 In 0.750 0.292 0.500
4 In 0.750 0.792 0.000
5 Si 0.250 0.467 0.997
6 Si 0.250 0.967 0.497
7 Si 0.750 0.033 0.497
8 Si 0.750 0.533 0.997
9 As 0.250 0.391 0.497
10 As 0.250 0.891 0.997
11 As 0.750 0.109 0.997
12 As 0.750 0.609 0.497



(6)
TaGa2Rh: relaxed, GGA-PBE.

Properties
symmetry	P4/mmm, No. 123
energy	-6.7109	eV per atom
energy relative to the elements	-0.396	eV/atom

Unit cell a=2.985 b=2.985 c=6.862 alpha=90.00 beta=90.00 gamma=90.00
Atoms (fractional coordinates):
1 Ta 0.000 0.000 0.000
2 Ga 0.500 0.500 0.276
3 Ga 0.500 0.500 0.724
4 Rh 0.000 0.000 0.500



(7)
IrPtSe2: relaxed, GGA-PBE.

Properties
symmetry	Cmmm, No. 65
energy	-4.9816	eV per atom
formation energy (no corrections)	0.4861	eV per atom

Unit cell a=2.859 b=5.062 c=9.388 alpha=90.00 beta=90.00 gamma=90.00
Atoms (fractional coordinates):
1 Ir 0.000 0.000 0.000
2 Ir 0.500 0.500 0.000
3 Pt 0.000 0.000 0.500
4 Pt 0.500 0.500 0.500
5 Se 0.000 0.500 0.236
6 Se 0.000 0.500 0.764
7 Se 0.500 0.000 0.236
8 Se 0.500 0.000 0.764



(8)
ZrCu2Re: relaxed, GGA-PBE.

Properties
symmetry	F-43m, No. 216
energy	-6.9448	eV per atom
energy relative to the elements	0.352	eV/atom
E above lowest polymorph	0.270	eV per atom

Unit cell a=6.318 b=6.318 c=6.318 alpha=90.00 beta=90.00 gamma=90.00
Atoms (fractional coordinates):
1 Zr 0.000 0.000 0.000
2 Zr 0.000 0.500 0.500
3 Zr 0.500 0.000 0.500
4 Zr 0.500 0.500 0.000
5 Cu 0.000 0.000 0.500
6 Cu 0.000 0.500 0.000
7 Cu 0.250 0.250 0.250
8 Cu 0.250 0.750 0.750
9 Cu 0.500 0.000 0.000
10 Cu 0.500 0.500 0.500
11 Cu 0.750 0.250 0.750
12 Cu 0.750 0.750 0.250
13 Re 0.250 0.250 0.750
14 Re 0.250 0.750 0.250
15 Re 0.750 0.250 0.250
16 Re 0.750 0.750 0.750



(9)
NiHg2Au2: relaxed, GGA-PBE.

Properties
symmetry	P4/mbm, No. 127
energy	-2.3131	eV per atom
energy relative to the elements	0.275	eV/atom
E above lowest polymorph	0.000	eV per atom

Unit cell a=6.791 b=6.791 c=4.298 alpha=90.00 beta=90.00 gamma=90.00
Atoms (fractional coordinates):
1 Ni 0.000 0.000 0.000
2 Ni 0.500 0.500 0.000
3 Hg 0.166 0.334 0.500
4 Hg 0.334 0.834 0.500
5 Hg 0.666 0.166 0.500
6 Hg 0.834 0.666 0.500
7 Au 0.146 0.646 0.000
8 Au 0.354 0.146 0.000
9 Au 0.646 0.854 0.000
10 Au 0.854 0.354 0.000



(10)
NiAsP2: relaxed, GGA-PBE.

Properties
symmetry	R-3m, No. 166
energy	-5.1267	eV per atom
energy relative to the elements	0.186	eV/atom

Unit cell a=2.933 b=2.933 c=23.941 alpha=90.00 beta=90.00 gamma=120.00
Atoms (fractional coordinates):
1 Ni 0.000 0.000 0.000
2 Ni 0.333 0.667 0.667
3 Ni 0.667 0.333 0.333
4 As 0.000 0.000 0.500
5 As 0.333 0.667 0.167
6 As 0.667 0.333 0.833
7 P 0.000 0.000 0.266
8 P 0.000 0.000 0.734
9 P 0.333 0.667 0.400
10 P 0.333 0.667 0.933
11 P 0.667 0.333 0.067
12 P 0.667 0.333 0.600



(11)
Ca2AsOsRu: relaxed, GGA-PBE.

Properties
symmetry	P4/mmm, No. 123
energy	-4.9876	eV per atom
energy relative to the elements	0.844	eV/atom

Unit cell a=5.391 b=5.391 c=4.489 alpha=90.00 beta=90.00 gamma=90.00
Atoms (fractional coordinates):
1 Ca 0.000 0.500 0.000
2 Ca 0.500 0.000 0.000
3 As 0.000 0.000 0.000
4 Os 0.500 0.500 0.500
5 Ru 0.000 0.000 0.500



Q: What is the energy in the seventh record?
A: -4.9816 eV per atom